1.
The following is a GGA-PBE calculation of a geometry-optimized UP2Se6 structure, from Alexandria via LeMat-Bulk.

Computed properties:
Crystal system   trigonal
ΔE_f (raw)   -37 kJ per mole of atoms
Energy   -46.5 eV per cell

a = 6.7550 Å, b = 6.7550 Å, c = 8.4767 Å
α = 66.52°, β = 66.52°, γ = 60.00°
Last column: nearest neighbours and their distance in Å.
Sites, in units of the cell vectors:
P (0.7170, 0.7170, 0.8490)  3 Se 2.23, 1 P 2.28
P (0.6161, 0.6161, 0.1517)  3 Se 2.23, 1 P 2.28
U (0.3335, 0.3335, 0.9994)  6 Se 2.83
Se (0.9161, 0.2919, 0.2438)  1 P 2.23
Se (0.5481, 0.9161, 0.2438)  1 P 2.23
Se (0.7140, 0.4520, 0.7571)  1 P 2.23
Se (0.2919, 0.5481, 0.2438)  1 P 2.23
Se (0.4520, 0.0769, 0.7571)  1 P 2.23
Se (0.0769, 0.7140, 0.7571)  1 P 2.23



2.
The following is a GGA-PBE calculation of a geometry-optimized ErCd4Hg2 structure, from Alexandria via LeMat-Bulk.

Computed properties:
Crystal system   orthorhombic
Relative energy among the computed polymorphs   0.0 meV/atom
Energy of formation from the pure elements   -136 meV per atom
Energy   -9.8 eV per cell

a = 3.3551 Å, b = 4.9001 Å, c = 10.1899 Å
α = 103.91°, β = 90.00°, γ = 90.00°
Last column: nearest neighbours and their distance in Å.
Sites, in units of the cell vectors:
Cd (0.0000, 0.7071, 0.4142)  8 Cd 2.98-3.22, 2 Hg 3.13
Cd (0.5000, 0.1538, 0.3076)  2 Hg 2.92, 6 Cd 3.15-3.22
Cd (0.5000, 0.8462, 0.6924)  2 Hg 2.92, 6 Cd 3.15-3.22
Cd (0.0000, 0.2929, 0.5858)  8 Cd 2.98-3.22, 2 Hg 3.13
Hg (0.5000, 0.4267, 0.8534)  1 Hg 2.90, 4 Cd 2.92-3.13
Hg (0.5000, 0.5733, 0.1466)  1 Hg 2.90, 4 Cd 2.92-3.13
Er (0.0000, 0.0000, 0.0000)  8 Hg 3.30, 2 Er 3.36, 4 Cd 3.47



3.
The following is a GGA-PBE calculation of a geometry-optimized PrEr2ScTe4 structure, from Alexandria via LeMat-Bulk.

Computed properties:
Crystal system   monoclinic
ΔE_f (raw)   -118 kJ per mole of atoms
Energy   -42.6 eV per cell

a = 4.2867 Å, b = 7.6052 Å, c = 7.5214 Å
α = 108.75°, β = 90.00°, γ = 90.00°
Last column: nearest neighbours and their distance in Å.
Sites, in units of the cell vectors:
Te (0.0000, 0.2626, 0.7513)  3 Er 3.00-3.12, 2 Sc 3.03, 1 Pr 3.14
Te (0.5000, 0.2648, 0.2577)  3 Er 3.00-3.12, 1 Sc 3.03, 2 Pr 3.15
Te (0.0000, 0.7374, 0.2487)  3 Er 3.00-3.12, 2 Sc 3.03, 1 Pr 3.14
Te (0.5000, 0.7352, 0.7423)  3 Er 3.00-3.12, 1 Sc 3.03, 2 Pr 3.15
Sc (0.5000, 0.5000, 0.0000)  6 Te 3.03
Pr (0.0000, 0.0000, 0.0000)  6 Te 3.14-3.15
Er (0.0000, 0.5000, 0.5000)  6 Te 3.00
Er (0.5000, 0.0000, 0.5000)  6 Te 3.12



4.
The following is a GGA-PBE calculation of a geometry-optimized HoErPt structure, from Alexandria via LeMat-Bulk.

Computed properties:
Crystal system   cubic
Relative energy among the computed polymorphs   0.0 meV/atom
Energy of formation from the pure elements   -901 meV per atom
Energy   -17.9 eV per cell

a = 4.8266 Å, b = 4.8266 Å, c = 4.8266 Å
α = 60.00°, β = 60.00°, γ = 60.00°
Last column: nearest neighbours and their distance in Å.
Sites, in units of the cell vectors:
Ho (0.0000, 0.0000, 0.0000)  4 Pt 2.96
Pt (0.2500, 0.2500, 0.2500)  4 Er 2.96, 4 Ho 2.96
Er (0.5000, 0.5000, 0.5000)  4 Pt 2.96



5.
The following is a GGA-PBE calculation of a geometry-optimized NbTe4Pd2 structure, from Alexandria via LeMat-Bulk.

Computed properties:
Crystal system   tetragonal
ΔE_f (raw)   -18 kJ per mole of atoms
Relative energy among the computed polymorphs   0.0 meV/atom
Energy   -68.6 eV per cell

a = 8.1175 Å, b = 8.1175 Å, c = 8.1088 Å
α = 120.01°, β = 120.01°, γ = 90.05°
Last column: nearest neighbours and their distance in Å.
Sites, in units of the cell vectors:
Te (0.3840, 0.6155, 0.7677)  1 Nb 2.66, 3 Pd 2.77
Te (0.8655, 0.1339, 0.2677)  1 Nb 2.66, 3 Pd 2.77
Te (0.4019, 0.1338, 0.2676)  1 Nb 2.66, 3 Pd 2.77
Te (0.3837, 0.1518, 0.7675)  1 Nb 2.66, 3 Pd 2.77
Te (0.8663, 0.5982, 0.7325)  1 Nb 2.66, 3 Pd 2.77
Te (0.8481, 0.6162, 0.2324)  1 Nb 2.66, 3 Pd 2.77
Te (0.3845, 0.6161, 0.2323)  1 Nb 2.66, 3 Pd 2.77
Te (0.8661, 0.1345, 0.7323)  1 Nb 2.66, 3 Pd 2.77
Pd (0.6250, 0.8750, 0.2500)  6 Te 2.77
Pd (0.6250, 0.3750, 0.7500)  6 Te 2.77
Pd (0.1250, 0.3750, 0.7500)  6 Te 2.77
Pd (0.6250, 0.3750, 0.2500)  6 Te 2.77
Nb (0.0000, 0.0001, 0.0000)  4 Te 2.66
Nb (0.2500, 0.7499, 0.5000)  4 Te 2.66



6.
The following is a GGA-PBE calculation of a geometry-optimized TbMg5Ag4 structure, from Alexandria via LeMat-Bulk.

Computed properties:
Crystal system   tetragonal
Energy of formation from the pure elements   -197 meV per atom
Energy   -26.0 eV per cell

a = 3.3608 Å, b = 3.3608 Å, c = 18.0153 Å
α = 90.00°, β = 90.00°, γ = 90.00°
Last column: nearest neighbours and their distance in Å.
Sites, in units of the cell vectors:
Mg (0.5000, 0.5000, 0.6833)  8 Ag 2.90
Mg (0.5000, 0.5000, 0.3167)  8 Ag 2.90
Mg (0.5000, 0.5000, 0.1339)  4 Ag 2.88
Mg (0.5000, 0.5000, 0.5000)  8 Ag 2.89
Mg (0.5000, 0.5000, 0.8661)  4 Ag 2.88
Ag (0.0000, 0.0000, 0.5913)  8 Mg 2.89-2.90
Ag (0.0000, 0.0000, 0.2247)  8 Mg 2.88-2.90
Ag (0.0000, 0.0000, 0.7753)  8 Mg 2.88-2.90
Ag (0.0000, 0.0000, 0.4087)  8 Mg 2.89-2.90
Tb (0.0000, 0.0000, 0.0000)  4 Tb 3.36, 8 Mg 3.39



7.
The following is a GGA-PBE calculation of a geometry-optimized Li5Al2Ag structure, from Alexandria via LeMat-Bulk.

Computed properties:
Crystal system   tetragonal
Relative energy among the computed polymorphs   0.0 meV/atom
Energy of formation from the pure elements   -138 meV per atom
Energy   -21.0 eV per cell

a = 4.0536 Å, b = 4.0536 Å, c = 8.4441 Å
α = 103.89°, β = 103.89°, γ = 90.00°
Last column: nearest neighbours and their distance in Å.
Sites, in units of the cell vectors:
Al (0.7492, 0.7492, 0.4984)  8 Li 2.80-2.82, 4 Al 2.87
Al (0.2508, 0.2508, 0.5016)  8 Li 2.80-2.82, 4 Al 2.87
Ag (0.0000, 0.0000, 0.0000)  12 Li 2.86-2.87
Li (0.1273, 0.6273, 0.2546)  4 Al 2.80-2.82, 6 Li 2.86-2.87, 2 Ag 2.86
Li (0.5000, 0.5000, 0.0000)  8 Li 2.86, 4 Ag 2.87
Li (0.6273, 0.1273, 0.2546)  4 Al 2.80-2.82, 2 Ag 2.86, 6 Li 2.86-2.87
Li (0.8727, 0.3727, 0.7454)  4 Al 2.80-2.82, 6 Li 2.86-2.87, 2 Ag 2.86
Li (0.3727, 0.8727, 0.7454)  4 Al 2.80-2.82, 2 Ag 2.86, 6 Li 2.86-2.87



8.
The following is a GGA-PBE calculation of a geometry-optimized Pm2NdDy6Tm structure, from Alexandria via LeMat-Bulk.

Computed properties:
Crystal system   monoclinic
Energy of formation from the pure elements   116 meV per atom
Energy   -90.4 eV per cell

a = 9.6724 Å, b = 8.7859 Å, c = 8.7859 Å
α = 117.91°, β = 94.30°, γ = 94.30°
Last column: nearest neighbours and their distance in Å.
Sites, in units of the cell vectors:
Nd (0.2500, 0.9804, 0.0196)  4 Pm 3.39, 4 Dy 3.60-3.67
Nd (0.7500, 0.0196, 0.9804)  4 Pm 3.39, 4 Dy 3.60-3.67
Dy (0.8809, 0.2942, 0.5076)  4 Dy 3.24-3.49, 3 Pm 3.27-3.46, 2 Tm 3.42-3.56
Dy (0.5571, 0.7434, 0.1236)  8 Dy 3.41-3.80, 1 Pm 3.55, 1 Nd 3.67, 1 Tm 3.78
Dy (0.6191, 0.4924, 0.7058)  4 Dy 3.24-3.49, 3 Pm 3.27-3.46, 2 Tm 3.42-3.56
Dy (0.4429, 0.2566, 0.8764)  8 Dy 3.41-3.80, 1 Pm 3.55, 1 Nd 3.67, 1 Tm 3.78
Dy (0.8139, 0.4294, 0.9817)  2 Dy 3.24-3.57, 1 Pm 3.41, 1 Tm 3.45, 1 Nd 3.60
Dy (0.9429, 0.8764, 0.2566)  8 Dy 3.41-3.80, 1 Pm 3.55, 1 Nd 3.67, 1 Tm 3.78
Dy (0.6861, 0.0183, 0.5706)  2 Dy 3.24-3.57, 1 Pm 3.41, 1 Tm 3.45, 1 Nd 3.60
Dy (0.3139, 0.9817, 0.4294)  2 Dy 3.24-3.57, 1 Pm 3.41, 1 Tm 3.45, 1 Nd 3.60
Dy (0.0571, 0.1236, 0.7434)  8 Dy 3.41-3.80, 1 Pm 3.55, 1 Nd 3.67, 1 Tm 3.78
Dy (0.1191, 0.7058, 0.4924)  4 Dy 3.24-3.49, 3 Pm 3.27-3.46, 2 Tm 3.42-3.56
Dy (0.1861, 0.5706, 0.0183)  2 Dy 3.24-3.57, 1 Pm 3.41, 1 Tm 3.45, 1 Nd 3.60
Dy (0.3809, 0.5076, 0.2942)  4 Dy 3.24-3.49, 3 Pm 3.27-3.46, 2 Tm 3.42-3.56
Pm (0.0438, 0.2993, 0.1970)  6 Dy 3.27-3.66, 2 Nd 3.39, 1 Tm 3.54
Pm (0.9562, 0.7007, 0.8030)  6 Dy 3.27-3.66, 2 Nd 3.39, 1 Tm 3.54
Pm (0.4562, 0.8030, 0.7007)  6 Dy 3.27-3.66, 2 Nd 3.39, 1 Tm 3.54
Pm (0.5438, 0.1970, 0.2993)  6 Dy 3.27-3.66, 2 Nd 3.39, 1 Tm 3.54
Tm (0.2500, 0.4080, 0.5920)  8 Dy 3.42-3.78, 2 Pm 3.54
Tm (0.7500, 0.5920, 0.4080)  8 Dy 3.42-3.78, 2 Pm 3.54



9.
The following is a GGA-PBE calculation of a geometry-optimized PmHoIn3 structure, from Alexandria via LeMat-Bulk.

Computed properties:
Crystal system   tetragonal
Energy of formation from the pure elements   135 meV per atom
Energy   -33.7 eV per cell

a = 5.8489 Å, b = 5.8489 Å, c = 11.9649 Å
α = 104.15°, β = 104.15°, γ = 90.00°
Last column: nearest neighbours and their distance in Å.
Sites, in units of the cell vectors:
Ho (0.8290, 0.3290, 0.6580)  8 In 3.36-3.48, 1 Ho 3.55
Ho (0.6710, 0.1710, 0.3420)  8 In 3.36-3.48, 1 Ho 3.55
In (0.7447, 0.7447, 0.4893)  2 Pm 2.93
In (0.1232, 0.3751, 0.2464)  2 In 2.90-2.95, 2 Pm 3.13-3.20
In (0.1232, 0.8713, 0.2464)  2 In 2.90-2.95, 2 Pm 3.13-3.20
In (0.1287, 0.8768, 0.7536)  2 In 2.90-2.95, 2 Pm 3.13-3.20
In (0.2553, 0.2553, 0.5107)  2 Pm 2.93
In (0.6249, 0.8768, 0.7536)  2 In 2.90-2.95, 2 Pm 3.13-3.20
Pm (0.0000, 0.0000, 0.0000)  4 In 3.13
Pm (0.2500, 0.7500, 0.5000)  8 In 2.93-3.20



10.
The following is a GGA-PBE calculation of a geometry-optimized TeBrO2 structure, from Alexandria via LeMat-Bulk.

Computed properties:
Crystal system   trigonal
ΔE_f (raw)   -24 kJ per mole of atoms
Relative energy among the computed polymorphs   382.9 meV/atom
Energy   -15.7 eV per cell

a = 8.8794 Å, b = 8.8794 Å, c = 8.8794 Å
α = 21.86°, β = 21.86°, γ = 21.86°
Last column: nearest neighbours and their distance in Å.
Sites, in units of the cell vectors:
O (0.1270, 0.1270, 0.1270)  3 Te 2.20
O (0.8730, 0.8730, 0.8730)  3 Te 2.20
Br (0.0000, 0.0000, 0.0000)  2 O 3.30, 6 Br 3.37
Te (0.5000, 0.5000, 0.5000)  6 O 2.20



11.
The following is a GGA-PBE calculation of a geometry-optimized LaScRe3 structure, from Alexandria via LeMat-Bulk.

Computed properties:
Crystal system   cubic
Relative energy among the computed polymorphs   0.0 meV/atom
Energy of formation from the pure elements   1720 meV per atom
Energy   -40.0 eV per cell

a = 4.7773 Å, b = 4.7773 Å, c = 4.7773 Å
α = 90.00°, β = 90.00°, γ = 90.00°
Last column: nearest neighbours and their distance in Å.
Sites, in units of the cell vectors:
Re (0.5000, 0.0000, 0.0000)  2 Sc 2.39
Re (0.0000, 0.5000, 0.0000)  2 Sc 2.39
Re (0.0000, 0.0000, 0.5000)  2 Sc 2.39
Sc (0.0000, 0.0000, 0.0000)  6 Re 2.39
La (0.5000, 0.5000, 0.5000)  12 Re 3.38



12.
The following is a GGA-PBE calculation of a geometry-optimized Na5Cd2In structure, from Alexandria via LeMat-Bulk.

Computed properties:
Crystal system   orthorhombic
Relative energy among the computed polymorphs   0.0 meV/atom
Energy of formation from the pure elements   -67 meV per atom
Energy   -23.4 eV per cell

a = 4.7302 Å, b = 6.8449 Å, c = 13.7373 Å
α = 90.00°, β = 90.00°, γ = 90.00°
Last column: nearest neighbours and their distance in Å.
Sites, in units of the cell vectors:
Na (0.5000, 0.7571, 0.1232)  4 Cd 3.29-3.59, 6 Na 3.33-3.48, 2 In 3.40
Na (0.0000, 0.5217, 0.2464)  7 Na 3.33-3.49, 1 In 3.39, 4 Cd 3.42-3.49
Na (0.0000, 0.9783, 0.7464)  7 Na 3.33-3.49, 1 In 3.39, 4 Cd 3.42-3.49
Na (0.0000, 0.4783, 0.7536)  7 Na 3.33-3.49, 1 In 3.39, 4 Cd 3.42-3.49
Na (0.5000, 0.7429, 0.6232)  4 Cd 3.29-3.59, 6 Na 3.33-3.48, 2 In 3.40
Na (0.5000, 0.2571, 0.3768)  4 Cd 3.29-3.59, 6 Na 3.33-3.48, 2 In 3.40
Na (0.5000, 0.2429, 0.8768)  4 Cd 3.29-3.59, 6 Na 3.33-3.48, 2 In 3.40
Na (0.0000, 0.0217, 0.2536)  7 Na 3.33-3.49, 1 In 3.39, 4 Cd 3.42-3.49
Na (0.0000, 0.0000, 0.0000)  6 Na 3.35-3.49, 4 Cd 3.42, 2 In 3.42
Na (0.0000, 0.5000, 0.5000)  6 Na 3.35-3.49, 4 Cd 3.42, 2 In 3.42
Cd (0.5000, 0.2253, 0.6159)  2 In 3.24, 10 Na 3.29-3.59
Cd (0.5000, 0.2747, 0.1159)  2 In 3.24, 10 Na 3.29-3.59
Cd (0.5000, 0.7747, 0.3841)  2 In 3.24, 10 Na 3.29-3.59
Cd (0.5000, 0.7253, 0.8841)  2 In 3.24, 10 Na 3.29-3.59
In (0.0000, 0.5000, 0.0000)  4 Cd 3.24, 8 Na 3.39-3.42
In (0.0000, 0.0000, 0.5000)  4 Cd 3.24, 8 Na 3.39-3.42